Computed, not measured: a relaxed structure of EuMoO4 at the PBE with a Hubbard U level of DFT.

Properties
V: 14.41 Å³ per atom
energy: -8.479 eV/atom
size of the total moment: 1.167 μB/atom

Cell and atoms, written as CIF:
```
data_EuMoO4
_symmetry_space_group_name_H-M 'I 41/a'
_symmetry_Int_Tables_number 88
_cell_length_a 5.4051
_cell_length_b 5.4051
_cell_length_c 11.8336
_cell_angle_alpha 90.00
_cell_angle_beta 90.00
_cell_angle_gamma 90.00
loop_
_symmetry_equiv_pos_as_xyz
'x,y,z'
'-x,-y,-z'
'-y+3/4,x+1/4,z+1/4'
'y+3/4,-x+1/4,-z+1/4'
'-x+1/2,-y,z+1/2'
'x+1/2,y,-z+1/2'
'y+3/4,-x+3/4,z+3/4'
'-y+3/4,x+3/4,-z+3/4'
'x+1/2,y+1/2,z+1/2'
'-x+1/2,-y+1/2,-z+1/2'
'-y+1/4,x+3/4,z+3/4'
'y+1/4,-x+3/4,-z+3/4'
'-x,-y+1/2,z'
'x,y+1/2,-z'
'y+1/4,-x+1/4,z+1/4'
'-y+1/4,x+1/4,-z+1/4'
loop_
_atom_site_label
_atom_site_fract_x
_atom_site_fract_y
_atom_site_fract_z
Eu1 0.0000 0.2500 0.1250
Mo1 0.0000 0.2500 0.6250
O1 0.1486 0.0063 0.7074
```